1.
Computed, not measured: a relaxed structure of Sb2PPtI at the GGA-PBE level of DFT.

The structure in POSCAR format:
```
Sb2PPtI
1.0
-1.499 -4.205 2.662
3.439 1.134 3.729
-3.523 2.777 2.403
I Sb Pt P
1 2 1 1
direct
0.000 0.000 0.500 I
0.000 0.500 0.000 Sb
0.500 0.000 0.000 Sb
0.500 0.500 0.500 Pt
0.000 0.000 0.000 P
```

Output
As for the space group: P4/mmm, No. 123. As for the total magnetic moment: 0.0 μB/cell. The value obtained for the energy relative to the lowest polymorph listed for this composition is 187 meV/atom. For the density, the calculation gives 7.20 Mg/m³.

=====

2.
Computed, not measured: a relaxed structure of ErAlNiAu at the GGA-PBE level of DFT.

The structure in POSCAR format:
```
ErAlNiAu
1.0
-4.141 -1.223 -1.703
-0.546 -4.142 -2.023
-2.492 -3.301 2.106
Ni Au Al Er
1 1 1 1
direct
0.250 0.250 0.250 Ni
0.750 0.750 0.750 Au
0.000 0.000 0.000 Al
0.500 0.500 0.500 Er
```

Output
As for the space group: F-43m, No. 216. As for the total magnetic moment: 0.0 μB/cell. For the energy, the calculation gives -4.8869 eV per atom. For the density, the calculation gives 10.57 Mg/m³.

=====

3.
Computed, not measured: a relaxed structure of LaCu3W at the GGA-PBE level of DFT.

The structure in POSCAR format:
```
LaCu3W
1.0
-3.332 -3.268 0.908
1.276 -2.387 -3.910
3.143 -2.496 2.549
Cu W La
3 1 1
direct
0.000 0.500 0.000 Cu
0.000 0.000 0.500 Cu
0.500 0.000 0.000 Cu
0.000 0.000 0.000 W
0.500 0.500 0.500 La
```

Output
As for the space group: Pm-3m, No. 221. As for the total magnetic moment: 0.0 μB/cell. The value obtained for the energy relative to the lowest polymorph listed for this composition is 0 meV/atom. For the density, the calculation gives 7.93 Mg/m³.

=====

4.
Computed, not measured: a relaxed structure of Be2ZnPbAu at the GGA-PBE level of DFT.

The structure in POSCAR format:
```
Be2ZnPbAu
1.0
4.298 0.000 0.000
0.000 5.464 0.000
0.000 0.000 4.298
Pb Be Zn Au
1 2 1 1
direct
0.000 0.500 0.000 Pb
0.000 0.000 0.500 Be
0.500 0.000 0.000 Be
0.000 0.000 0.000 Zn
0.500 0.500 0.500 Au
```

Output
As for the space group: P4/mmm, No. 123. As for the total magnetic moment: 0.0 μB/cell. For the energy, the calculation gives -2.4169 eV per atom. For the density, the calculation gives 8.02 Mg/m³.